An optimized crystal structure of La8Ir5Ru. Source: the Alexandria database, functional PBE-GGA. Values from VASP.

Results
**Magnetization**: 0.00 μB/f.u.
**ΔE_f**: -0.610 eV/atom
**Crystal system**: tetragonal

Quantum ESPRESSO input file:
```
&SYSTEM
  ibrav = 0, nat = 14, ntyp = 3
/
ATOMIC_SPECIES
La 138.91 La.upf
Ir 192.22 Ir.upf
Ru 101.07 Ru.upf
CELL_PARAMETERS angstrom
7.356 0.000 -2.532
-3.669 6.339 -2.624
-0.018 0.000 7.780
ATOMIC_POSITIONS crystal
La 0.506 0.629 0.259
La 0.741 0.247 0.370
Ir 0.870 0.872 0.247
Ir 0.001 0.376 0.130
La 0.243 0.250 0.380
Ir 0.500 0.000 0.500
La 0.130 0.750 0.993
Ir 0.753 0.624 0.625
La 0.123 0.753 0.494
La 0.007 0.138 0.757
La 0.620 0.862 0.870
La 0.630 0.371 0.877
Ir 0.375 0.128 0.999
Ru 0.250 0.500 0.750
```

***

An optimized crystal structure of CsC3S. Source: the Alexandria database, functional PBE-GGA. Values from VASP.

Results
**Energy relative to the lowest polymorph listed for this composition**: 1.4432 eV/atom
**Magnetization**: 5.00 μB/f.u.
**ΔE_f (raw)**: 22.1 eV per formula unit
**Crystal system**: cubic

Quantum ESPRESSO input file:
```
&SYSTEM
  ibrav = 0, nat = 5, ntyp = 3
/
ATOMIC_SPECIES
C 12.01 C.upf
Cs 132.91 Cs.upf
S 32.06 S.upf
CELL_PARAMETERS angstrom
-0.556 1.155 5.347
0.404 -5.351 1.198
5.455 0.514 0.456
ATOMIC_POSITIONS crystal
C 0.000 0.000 0.500
Cs 0.000 0.000 0.000
S 0.500 0.500 0.500
C 0.500 0.000 0.000
C 0.000 0.500 0.000
```